No. 1
Here is a crystal of La3CrBi relaxed with PBEsol from the Alexandria database. Energies are from meta-GGA SCAN.

POSCAR file:
```
La3CrBi
1.0
6.0373 0.0000 0.0000
0.0000 6.0373 0.0000
0.0000 0.0000 6.0373
La Cr Bi
3 1 1
direct
0.5000 0.0000 0.0000
0.0000 0.5000 0.0000
0.0000 0.0000 0.5000
0.5000 0.5000 0.5000
0.0000 0.0000 0.0000
```

- Total magnetization: 1.328 μB/atom
- Formation energy: 0.34 eV per atom

=====

No. 2
Here is a crystal of MnCoOs2 relaxed with PBEsol from the Alexandria database. Energies are from meta-GGA SCAN.

POSCAR file:
```
MnCoOs2
1.0
-2.3674 -1.2224 -1.4452
-0.9359 -1.2555 2.5951
-2.9395 4.4188 1.0777
Mn Os Co
1 2 1
direct
0.5000 0.5000 0.5000
0.0000 0.0000 0.7551
0.0000 0.0000 0.2449
0.5000 0.5000 0.0000
```

- Distance to the lowest polymorph of the same formula: 0 meV/atom
- Total magnetization: 0.026 μB/atom
- Formation energy: 0.10 eV per atom

=====

No. 3
Here is a crystal of Al2Sb relaxed with PBEsol from the Alexandria database. Energies are from meta-GGA SCAN.

POSCAR file:
```
Al2Sb
1.0
-2.1122 0.6585 -4.7950
2.1647 -4.3948 -1.5571
-2.5539 -4.4312 0.5165
Sb Al
2 4
direct
0.2500 0.7519 0.2481
0.7500 0.2481 0.7519
0.2500 0.0844 0.5785
0.7500 0.5785 0.0844
0.7500 0.9156 0.4215
0.2500 0.4215 0.9156
```

- Formation energy from raw total energies: 189 meV per atom
- Total magnetization: 0.001 μB/atom

=====

No. 4
Here is a crystal of KAlZn2 relaxed with PBEsol from the Alexandria database. Energies are from meta-GGA SCAN.

POSCAR file:
```
KAlZn2
1.0
-2.7728 0.2207 -2.0974
-0.3822 -4.9399 -0.0145
-2.9747 0.2185 3.9555
Zn Al K
2 1 1
direct
0.0000 0.5000 0.5000
0.0000 0.0000 0.0000
0.5000 0.5000 0.0000
0.5000 0.0000 0.5000
```

- Total magnetization: 0.000 μB/atom
- Formation energy: 0.43 eV per atom

=====

No. 5
Here is a crystal of TlTe2W relaxed with PBEsol from the Alexandria database. Energies are from meta-GGA SCAN.

POSCAR file:
```
TlTe2W
1.0
3.1997 0.0000 0.0000
0.0000 5.0008 0.0000
-1.5998 -2.5004 6.4190
Tl W Te
1 1 2
direct
0.5000 0.0000 0.0000
0.0000 0.5000 0.0000
0.6742 0.6742 0.3484
0.3258 0.3258 0.6516
```

- Formation energy from raw total energies: 497 meV per atom
- Distance to the lowest polymorph of the same formula: 0 meV/atom
- Total magnetization: 0.001 μB/atom

=====

No. 6
Here is a crystal of LiMn2As relaxed with PBEsol from the Alexandria database. Energies are from meta-GGA SCAN.

POSCAR file:
```
LiMn2As
1.0
2.7110 0.0000 0.0000
1.3555 2.3478 0.0000
1.3555 0.7826 8.0321
As Mn Li
1 2 1
direct
0.5000 0.5000 0.5000
0.7584 0.7584 0.7247
0.2416 0.2416 0.2753
0.0000 0.0000 0.0000
```

- Total magnetization: 1.582 μB/atom
- Formation energy: 0.30 eV per atom

=====

No. 7
Here is a crystal of Pt2RhW relaxed with PBEsol from the Alexandria database. Energies are from meta-GGA SCAN.

POSCAR file:
```
Pt2RhW
1.0
-0.9638 2.5564 0.0373
-3.0933 -1.1959 2.0279
2.7131 0.9543 4.7011
W Pt Rh
1 2 1
direct
0.5000 0.5000 0.7422
0.0000 0.0000 0.9945
0.5000 0.5000 0.2545
0.0000 0.0000 0.5088
```

- Distance to the lowest polymorph of the same formula: 35 meV/atom
- Total magnetization: 0.000 μB/atom
- Formation energy: -0.27 eV per atom

=====

No. 8
Here is a crystal of ScSbPtI2 relaxed with PBEsol from the Alexandria database. Energies are from meta-GGA SCAN.

POSCAR file:
```
ScSbPtI2
1.0
-1.6165 4.0855 2.9772
-5.0514 -1.1847 -1.1170
-0.2110 -3.4285 4.5902
I Pt Sc Sb
2 1 1 1
direct
0.0000 0.5000 0.0000
0.5000 0.0000 0.0000
0.5000 0.5000 0.5000
0.0000 0.0000 0.0000
0.0000 0.0000 0.5000
```

- Formation energy from raw total energies: 473 meV per atom
- Total magnetization: 0.212 μB/atom